Material: MnSb2Pb
Method: DFT, PBE
State: optimized geometry

Unit cell a=6.286 b=8.384 c=4.123 alpha=90.00 beta=102.42 gamma=90.00
Element x y z (fractional)
Mn 0.000 0.000 0.000
Mn 0.500 0.500 0.000
Sb 0.250 0.250 0.500
Sb 0.250 0.750 0.500
Sb 0.750 0.250 0.500
Sb 0.750 0.750 0.500
Pb 0.000 0.500 0.000
Pb 0.500 0.000 0.000

Values from the calculation:
- E_form (uncorrected) (meV/atom) = 335.6
- mass density (g/cm3) = 7.91

***

Material: Pr2DyHo3Tm6
Method: DFT, PBE
State: optimized geometry

Unit cell a=6.133 b=6.133 c=11.684 alpha=95.01 beta=95.01 gamma=119.95
Element x y z (fractional)
Pr 0.167 0.833 0.000
Pr 0.833 0.167 0.000
Dy 0.500 0.500 0.000
Ho 0.000 0.000 0.500
Ho 0.333 0.667 0.500
Ho 0.667 0.333 0.500
Tm 0.082 0.415 0.747
Tm 0.253 0.253 0.254
Tm 0.415 0.082 0.747
Tm 0.585 0.918 0.253
Tm 0.747 0.747 0.746
Tm 0.918 0.585 0.253

Values from the calculation:
- energy of formation (eV per atom) = 0.0242
- mass density (g/cm3) = 8.65

***

mass density of number 1 (MnSb2Pb)? 7.91 g/cm3